1.
# HfTiCoPt2

An optimized crystal structure of HfTiCoPt2 (GGA-PBEsol, the Alexandria database).

Output
The density comes out at 11.5 g cm⁻³. For the volume, the calculation gives 19.5 A^3/atom. The value obtained for the density of states at the Fermi level is 0.9563 states/eV per atom. The raw total energy is -7.061 eV per atom. The size of the total moment comes out at 0.375 μB/atom. The value obtained for the formation energy is 1.037 eV/atom. The crystal system is tetragonal.

Unit cell a=4.541 b=4.541 c=4.735 alpha=90.00 beta=90.00 gamma=90.00
Fractional coordinates of all 5 atoms:
Co (0.500, 0.500, 0.500)
Hf (0.000, 0.000, 0.500)
Pt (0.500, 0.000, 0.000)
Pt (0.000, 0.500, 0.000)
Ti (0.000, 0.000, 0.000)



2.
# AlRu2Se2

An optimized crystal structure of AlRu2Se2 (GGA-PBEsol, the Alexandria database).

Output
The density comes out at 6.6 g cm⁻³. For the volume, the calculation gives 19.4 A^3/atom. The value obtained for the density of states at the Fermi level is 0.2622 states/eV per atom. As for the energy relative to the elements, uncorrected: 0.075 eV/atom. The raw total energy is -6.353 eV per atom. The size of the total moment comes out at 0.000 μB/atom. The crystal system is tetragonal.

Unit cell a=4.004 b=4.004 c=6.671 alpha=107.46 beta=107.46 gamma=90.00
Fractional coordinates of all 5 atoms:
Se (0.640, 0.640, 0.279)
Se (0.360, 0.360, 0.721)
Ru (0.250, 0.750, 0.500)
Ru (0.750, 0.250, 0.500)
Al (0.000, 0.000, 0.000)



3.
# BaBi6P4O20

An optimized crystal structure of BaBi6P4O20 (GGA-PBEsol, the Alexandria database).

Output
The density comes out at 7.1 g cm⁻³. For the volume, the calculation gives 13.8 A^3/atom. The value obtained for the density of states at the Fermi level is 0.0000 states/eV per atom. As for the energy relative to the elements, uncorrected: -1.969 eV/atom. The raw total energy is -7.001 eV per atom. The size of the total moment comes out at 0.000 μB/atom. The crystal system is triclinic.

Unit cell a=7.039 b=7.659 c=9.092 alpha=107.16 beta=93.15 gamma=111.59
Fractional coordinates of all 31 atoms:
O (0.675, 0.596, 0.098)
O (0.360, 0.841, 0.087)
O (0.863, 0.217, 0.710)
O (0.609, 0.867, 0.678)
O (0.137, 0.783, 0.290)
O (0.863, 0.672, 0.826)
O (0.852, 0.999, 0.168)
O (0.036, 0.281, 0.427)
O (0.325, 0.404, 0.902)
O (0.442, 0.471, 0.636)
O (0.137, 0.328, 0.174)
O (0.148, 0.001, 0.832)
O (0.796, 0.327, 0.243)
O (0.517, 0.874, 0.359)
O (0.558, 0.529, 0.364)
O (0.391, 0.133, 0.322)
O (0.640, 0.159, 0.913)
O (0.964, 0.719, 0.573)
O (0.483, 0.126, 0.641)
O (0.204, 0.673, 0.757)
P (0.046, 0.771, 0.750)
P (0.647, 0.091, 0.736)
P (0.353, 0.909, 0.264)
P (0.954, 0.229, 0.250)
Bi (0.444, 0.293, 0.091)
Bi (0.676, 0.381, 0.499)
Bi (0.324, 0.619, 0.501)
Bi (0.556, 0.707, 0.909)
Bi (0.196, 0.194, 0.668)
Bi (0.804, 0.806, 0.332)
Ba (0.000, 0.500, 0.000)



4.
# RbSrTeI2

An optimized crystal structure of RbSrTeI2 (GGA-PBEsol, the Alexandria database).

Output
As for the energy above the most stable polymorph in this dataset: 597 meV per atom. The density comes out at 3.8 g cm⁻³. For the volume, the calculation gives 47.9 A^3/atom. The value obtained for the density of states at the Fermi level is 0.8988 states/eV per atom. As for the energy relative to the elements, uncorrected: -0.496 eV/atom. The raw total energy is -2.481 eV per atom. The size of the total moment comes out at 0.000 μB/atom. The crystal system is tetragonal.

Unit cell a=6.082 b=6.274 c=6.274 alpha=90.00 beta=90.00 gamma=90.00
Fractional coordinates of all 5 atoms:
I (0.000, 0.500, 0.000)
I (0.000, 0.000, 0.500)
Rb (0.000, 0.000, 0.000)
Sr (0.500, 0.500, 0.500)
Te (0.500, 0.000, 0.000)



5.
# Mg3IO

An optimized crystal structure of Mg3IO (GGA-PBEsol, the Alexandria database).

Output
The density comes out at 3.6 g cm⁻³. For the volume, the calculation gives 19.6 A^3/atom. The value obtained for the density of states at the Fermi level is 0.3929 states/eV per atom. As for the energy relative to the elements, uncorrected: -0.668 eV/atom. The raw total energy is -3.101 eV per atom. The size of the total moment comes out at 0.000 μB/atom. The crystal system is cubic.

Unit cell a=4.614 b=4.614 c=4.614 alpha=90.00 beta=90.00 gamma=90.00
Fractional coordinates of all 5 atoms:
I (0.500, 0.500, 0.500)
Mg (0.500, 0.000, 0.000)
Mg (0.000, 0.500, 0.000)
Mg (0.000, 0.000, 0.500)
O (0.000, 0.000, 0.000)



6.
# Sb2TeCl

An optimized crystal structure of Sb2TeCl (GGA-PBEsol, the Alexandria database).

Output
As for the energy above the most stable polymorph in this dataset: 83 meV per atom. The density comes out at 6.7 g cm⁻³. For the volume, the calculation gives 25.1 A^3/atom. The value obtained for the density of states at the Fermi level is 0.5699 states/eV per atom. As for the energy relative to the elements, uncorrected: -0.005 eV/atom. The raw total energy is -3.667 eV per atom. The size of the total moment comes out at 0.000 μB/atom. The crystal system is orthorhombic.

Unit cell a=3.253 b=3.253 c=10.107 alpha=90.00 beta=90.00 gamma=110.40
Fractional coordinates of all 4 atoms:
Te (0.000, 0.000, 0.502)
Sb (0.000, 0.000, 0.014)
Sb (0.500, 0.500, 0.761)
Cl (0.500, 0.500, 0.223)



7.
# BaBeSe2

An optimized crystal structure of BaBeSe2 (GGA-PBEsol, the Alexandria database).

Output
The density comes out at 3.3 g cm⁻³. For the volume, the calculation gives 38.3 A^3/atom. The value obtained for the density of states at the Fermi level is 0.0000 states/eV per atom. As for the energy relative to the elements, uncorrected: -1.093 eV/atom. The raw total energy is -4.556 eV per atom. The size of the total moment comes out at 0.000 μB/atom. The crystal system is monoclinic.

Unit cell a=5.034 b=5.049 c=7.482 alpha=108.74 beta=90.00 gamma=119.90
Fractional coordinates of all 4 atoms:
Ba (0.000, 0.000, 0.000)
Be (0.500, 0.000, 0.500)
Se (0.600, 0.201, 0.788)
Se (0.400, 0.799, 0.212)



8.
# CaLa2P

An optimized crystal structure of CaLa2P (GGA-PBEsol, the Alexandria database).

Output
The density comes out at 5.6 g cm⁻³. For the volume, the calculation gives 25.9 A^3/atom. The value obtained for the density of states at the Fermi level is 0.9640 states/eV per atom. The raw total energy is -5.014 eV per atom. The size of the total moment comes out at 0.000 μB/atom. The value obtained for the formation energy is -0.360 eV/atom. The crystal system is tetragonal.

Unit cell a=4.551 b=4.551 c=5.942 alpha=112.52 beta=112.52 gamma=90.00
Fractional coordinates of all 4 atoms:
Ca (0.250, 0.750, 0.500)
La (0.750, 0.250, 0.500)
La (0.000, 0.000, 0.000)
P (0.500, 0.500, 0.000)



9.
# CaCuHg2

An optimized crystal structure of CaCuHg2 (GGA-PBEsol, the Alexandria database).

Output
The density comes out at 9.6 g cm⁻³. For the volume, the calculation gives 21.8 A^3/atom. The value obtained for the density of states at the Fermi level is 0.4493 states/eV per atom. The raw total energy is -2.155 eV per atom. The size of the total moment comes out at 0.000 μB/atom. The value obtained for the formation energy is -0.254 eV/atom. The crystal system is monoclinic.

Unit cell a=4.578 b=4.610 c=5.452 alpha=114.86 beta=90.00 gamma=119.77
Fractional coordinates of all 4 atoms:
Hg (0.726, 0.451, 0.176)
Hg (0.960, 0.921, 0.882)
Cu (0.304, 0.607, 0.915)
Ca (0.510, 0.020, 0.527)



10.
# AlAsAu3

An optimized crystal structure of AlAsAu3 (GGA-PBEsol, the Alexandria database).

Output
The density comes out at 10.9 g cm⁻³. For the volume, the calculation gives 21.0 A^3/atom. The value obtained for the density of states at the Fermi level is 0.4521 states/eV per atom. The raw total energy is -3.584 eV per atom. The size of the total moment comes out at 0.000 μB/atom. The value obtained for the formation energy is 0.610 eV/atom. The crystal system is cubic.

Unit cell a=4.720 b=4.720 c=4.720 alpha=90.00 beta=90.00 gamma=90.00
Fractional coordinates of all 5 atoms:
Au (0.000, 0.500, 0.000)
Au (0.000, 0.000, 0.500)
Au (0.500, 0.000, 0.000)
As (0.500, 0.500, 0.500)
Al (0.000, 0.000, 0.000)